Crystalline Ba2Ca2Pd at its relaxed geometry, computed with PBE.

Cell and atoms, written as POSCAR:
```
Ba2Ca2Pd
1.0
7.740 0.000 0.000
0.000 7.740 0.000
0.000 0.000 6.701
Ca Ba Pd
4 4 2
Cartesian
2.560 6.430 0.000
6.430 5.180 0.000
5.180 1.310 0.000
1.310 2.560 0.000
1.403 5.273 3.350
5.273 6.337 3.350
6.337 2.467 3.350
2.467 1.403 3.350
0.000 0.000 0.000
3.870 3.870 0.000
```

Results
- Density of states at the Fermi level: 3.6 states/eV/cell
- Total moment: 0.00 Bohr magnetons per cell
- Excess energy over the best structure of this formula in the dataset: 0.00 eV per formula unit
- E_tot: -27.12 eV/cell